Mg2Sc3VS8 | the Alexandria database | PBE-GGA | optimized geometry; raw total energy = -6.165 eV/atom; raw formation energy = -2121.3 kJ/mol of formula units; symmetry = R-3m, No. 166; DOS at the Fermi energy = 6.5 states/eV/f.u.
1.0
7.5144 0.0011 0.0002
3.7567 6.4370 0.0060
3.7572 2.1871 6.1290
S Sc Mg V
8 3 2 1
Direct
0.7348 0.7539 0.2766 S
0.2652 0.2461 0.7234 S
0.7420 0.2740 0.7419 S
0.2765 0.7540 0.7348 S
0.7235 0.2460 0.2652 S
0.2580 0.7260 0.2581 S
0.7347 0.7539 0.7349 S
0.2652 0.2461 0.2652 S
0.5000 0.5000 0.5000 Sc
0.0000 0.5000 0.5000 Sc
0.5000 0.5000 0.0000 Sc
0.8753 0.8742 0.8753 Mg
0.1247 0.1258 0.1247 Mg
0.5000 0.0000 0.5000 V